A plane-wave DFT calculation with PBE was carried out for crystalline PaGa3 at its relaxed geometry.

Lattice parameters (Å, degrees): 4.253 4.253 8.915 90.00 90.00 90.00
Positions (direct):
Pa 0.000 0.000 0.000
Pa 0.500 0.500 0.500
Ga 0.000 0.000 0.500
Ga 0.000 0.500 0.250
Ga 0.000 0.500 0.750
Ga 0.500 0.000 0.250
Ga 0.500 0.000 0.750
Ga 0.500 0.500 0.000

Values from the calculation:
SG = No. 139
Total moment = 0.000 μB/cell
Energy relative to the lowest polymorph listed for this composition = 3.650 kcal/mol of atoms

***

A plane-wave DFT calculation with PBE was carried out for crystalline PaGa2Pb at its relaxed geometry.

Lattice parameters (Å, degrees): 3.682 3.682 6.784 90.00 90.00 90.00
Positions (direct):
Pa 0.000 0.000 0.000
Ga 0.500 0.500 0.253
Ga 0.500 0.500 0.747
Pb 0.000 0.000 0.500

Values from the calculation:
SG = No. 123
Total moment = 0.278 μB/cell
Energy relative to the lowest polymorph listed for this composition = 4.977 kcal/mol of atoms

***

A plane-wave DFT calculation with PBE was carried out for crystalline PaGa2Pb at its relaxed geometry.

Lattice parameters (Å, degrees): 7.191 7.191 7.191 90.00 90.00 90.00
Positions (direct):
Pa 0.000 0.000 0.000
Pa 0.000 0.500 0.500
Pa 0.500 0.000 0.500
Pa 0.500 0.500 0.000
Ga 0.250 0.250 0.250
Ga 0.250 0.250 0.750
Ga 0.250 0.750 0.250
Ga 0.250 0.750 0.750
Ga 0.750 0.250 0.250
Ga 0.750 0.250 0.750
Ga 0.750 0.750 0.250
Ga 0.750 0.750 0.750
Pb 0.000 0.000 0.500
Pb 0.000 0.500 0.000
Pb 0.500 0.000 0.000
Pb 0.500 0.500 0.500

Values from the calculation:
SG = No. 225
Total moment = 0.001 μB/cell
Energy relative to the lowest polymorph listed for this composition = 7.307 kcal/mol of atoms

***

A plane-wave DFT calculation with PBE was carried out for crystalline PaGaPb at its relaxed geometry.

Lattice parameters (Å, degrees): 3.380 3.380 13.019 90.00 90.00 90.00
Positions (direct):
Pa 0.000 0.000 0.000
Pa 0.500 0.500 0.500
Ga 0.000 0.000 0.355
Ga 0.500 0.500 0.855
Pb 0.000 0.000 0.691
Pb 0.500 0.500 0.191

Values from the calculation:
SG = No. 107
Total moment = 1.803 μB/cell
Energy relative to the lowest polymorph listed for this composition = 0.000 kcal/mol of atoms

***

Calculated formation energy in eV/atom, matching the order above: -0.21 0.01 0.11 0.09